This record from Alexandria via LeMat-Bulk describes an optimized crystal structure of Ti2CoO. The functional is PBE+U.

Unit cell a=5.469 b=5.469 c=5.334 alpha=59.16 beta=59.16 gamma=90.00
Fractional coordinates of all 8 atoms:
Co1 0.000 0.000 0.000
Co2 0.750 0.250 0.500
O1 0.500 0.500 0.000
O2 0.250 0.750 0.500
Ti1 0.575 0.125 0.250
Ti2 0.175 0.625 0.250
Ti3 0.375 0.425 0.750
Ti4 0.875 0.825 0.750

Computed properties:
* crystal system: tetragonal
* space-group type: I-42d
* D(E_F): 8.9 states/eV per cell
* E above lowest polymorph: 0 meV/atom